## P
First-principles (PBE) data for a geometry-optimized ReTe4As structure, as listed in Alexandria via LeMat-Bulk.

Cell: 6.200 6.200 6.200 Å, 60.00 60.00 60.00°
Each line ends with the local moment (μB).
Positions (direct):
Re: 0.000 0.000 0.000  3.60
Te: 0.375 0.375 0.876  0.01
Te: 0.375 0.876 0.375  0.01
Te: 0.375 0.375 0.375  0.01
Te: 0.876 0.375 0.375  0.01
As: 0.750 0.750 0.750  -0.33

Its space-group type is No. 216. The density of states at the Fermi level comes out at 1.025 states/eV per atom.

***

## Q
First-principles (PBE) data for a geometry-optimized ReTe4As structure, as listed in Alexandria via LeMat-Bulk.

Cell: 13.657 7.494 7.478 Å, 58.69 136.62 136.68°
Positions (direct):
Re: 0.750 0.640 0.360
Te: 0.564 0.492 0.850
Te: 0.413 0.865 0.638
Te: 0.436 0.508 0.150
Re: 0.250 0.360 0.640
Te: 0.913 0.637 0.866
Te: 0.087 0.363 0.134
Te: 0.587 0.135 0.362
As: 0.250 0.026 0.974
Te: 0.064 0.851 0.491
Te: 0.936 0.149 0.509
As: 0.750 0.974 0.026

Its space-group type is No. 2. The density of states at the Fermi level comes out at 0.164 states/eV per atom.

***

Energy comparison, zero being the most stable, in eV/atom: P 1.360; Q 0.000.

***

## P
First-principles (PBE) data for a geometry-optimized TiRe3As structure, as listed in Alexandria via LeMat-Bulk.

Cell: 4.510 4.510 4.510 Å, 90.00 90.00 90.00°
Positions (direct):
As: 0.000 0.000 0.000
Re: 0.000 0.500 0.000
Re: 0.000 0.000 0.500
Ti: 0.500 0.500 0.500
Re: 0.500 0.000 0.000

Its space-group type is No. 221. The density of states at the Fermi level comes out at 1.055 states/eV per atom.

***

## Q
First-principles (PBE) data for a geometry-optimized TiRe3As structure, as listed in Alexandria via LeMat-Bulk.

Cell: 4.583 4.583 4.583 Å, 90.00 90.00 90.00°
Positions (direct):
Ti: 0.000 0.000 0.000
Re: 0.000 0.000 0.500
As: 0.500 0.500 0.500
Re: 0.000 0.500 0.000
Re: 0.500 0.000 0.000

Its space-group type is No. 221. The density of states at the Fermi level comes out at 1.633 states/eV per atom.

***

Energy comparison, zero being the most stable, in eV/atom: P 0.000; Q 0.747.

***

## P
First-principles (PBE) data for a geometry-optimized TlRe2As structure, as listed in Alexandria via LeMat-Bulk.

Cell: 4.586 4.586 4.641 Å, 119.89 119.89 89.51°
Positions (direct):
Tl: 0.500 0.500 0.000
Re: 0.000 0.000 0.000
As: 0.750 0.250 0.500
Re: 0.250 0.750 0.500

Its space-group type is No. 22. The density of states at the Fermi level comes out at 0.700 states/eV per atom.

***

## Q
First-principles (PBE) data for a geometry-optimized TlRe2As structure, as listed in Alexandria via LeMat-Bulk.

Cell: 4.185 3.074 6.927 Å, 89.93 90.00 90.00°
Positions (direct):
As: 0.500 0.876 0.829
Re: 0.500 0.375 0.116
Tl: 0.000 0.374 0.470
Re: 0.000 0.875 0.084

Its space-group type is No. 6. The density of states at the Fermi level comes out at 0.655 states/eV per atom.

***

## R
First-principles (PBE) data for a geometry-optimized TlRe2As structure, as listed in Alexandria via LeMat-Bulk.

Cell: 5.888 5.888 5.888 Å, 150.82 132.81 56.45°
Positions (direct):
Re: 0.996 0.996 0.000
As: 0.214 0.714 0.500
Re: 0.790 0.290 0.500
Tl: 0.501 0.501 0.000

Its space-group type is No. 44. The density of states at the Fermi level comes out at 0.992 states/eV per atom.

***

## S
First-principles (PBE) data for a geometry-optimized TlRe2As structure, as listed in Alexandria via LeMat-Bulk.

Cell: 2.874 2.874 10.648 Å, 90.00 90.00 117.80°
Positions (direct):
Tl: 0.000 0.000 0.473
Re: 0.000 0.000 0.011
As: 0.500 0.500 0.806
Re: 0.500 0.500 0.211

Its space-group type is No. 35. The density of states at the Fermi level comes out at 0.616 states/eV per atom.

***

Energy comparison, zero being the most stable, in eV/atom: P 0.405; Q 0.000; R 0.269; S 0.012.

***

## P
First-principles (PBE) data for a geometry-optimized TlRe2As structure, as listed in Alexandria via LeMat-Bulk.

Cell: 5.425 5.425 5.425 Å, 148.05 123.54 66.36°
Positions (direct):
Re: 0.468 0.468 0.000
Tl: 0.750 0.250 0.500
Re: 0.032 0.032 0.000
As: 0.250 0.750 0.500

Its space-group type is No. 71. The density of states at the Fermi level comes out at 0.808 states/eV per atom.

***

## Q
First-principles (PBE) data for a geometry-optimized TlRe2As structure, as listed in Alexandria via LeMat-Bulk.

Cell: 10.630 10.630 10.630 Å, 15.81 15.81 15.81°
Positions (direct):
Re: 0.264 0.264 0.264
As: 0.728 0.728 0.728
Re: 0.997 0.997 0.997
Tl: 0.512 0.512 0.512

Its space-group type is No. 160. The density of states at the Fermi level comes out at 0.943 states/eV per atom.

***

## R
First-principles (PBE) data for a geometry-optimized TlRe2As structure, as listed in Alexandria via LeMat-Bulk.

Cell: 4.432 4.432 5.844 Å, 76.86 76.86 40.28°
Positions (direct):
Re: 0.513 0.513 0.434
Re: 0.987 0.987 0.066
As: 0.250 0.250 0.250
Tl: 0.750 0.750 0.750

Its space-group type is No. 12. The density of states at the Fermi level comes out at 0.577 states/eV per atom.

***

Energy comparison, zero being the most stable, in eV/atom: P 0.452; Q 0.000; R 0.316.

***

## P
First-principles (PBE) data for a geometry-optimized Tl2ReAs structure, as listed in Alexandria via LeMat-Bulk.

Cell: 4.963 4.963 4.963 Å, 60.00 60.00 60.00°
Each line ends with the local moment (μB).
Positions (direct):
Re: 0.750 0.750 0.750  1.59
Tl: 0.000 0.000 0.000  0.03
Tl: 0.250 0.250 0.250  0.01
As: 0.500 0.500 0.500  -0.02

Its space-group type is No. 216. The density of states at the Fermi level comes out at 1.115 states/eV per atom.

***

## Q
First-principles (PBE) data for a geometry-optimized Tl2ReAs structure, as listed in Alexandria via LeMat-Bulk.

Cell: 10.417 10.417 10.417 Å, 17.06 17.06 17.06°
Each line ends with the local moment (μB).
Positions (direct):
Tl: 0.495 0.495 0.495  0.01
As: 0.250 0.250 0.250  0.01
Re: 0.750 0.750 0.750  0.63
Tl: 0.005 0.005 0.005  0.01

Its space-group type is No. 166. The density of states at the Fermi level comes out at 0.854 states/eV per atom.

***

## R
First-principles (PBE) data for a geometry-optimized Tl2ReAs structure, as listed in Alexandria via LeMat-Bulk.

Cell: 3.667 3.667 6.147 Å, 90.00 90.00 90.00°
Positions (direct):
As: 0.500 0.500 0.250
Tl: 0.000 0.000 0.992
Re: 0.500 0.500 0.750
Tl: 0.000 0.000 0.508

Its space-group type is No. 123. The density of states at the Fermi level comes out at 0.907 states/eV per atom.

***

Energy comparison, zero being the most stable, in eV/atom: P 0.169; Q 0.000; R 0.111.

***

## P
First-principles (PBE) data for a geometry-optimized TlReAs2 structure, as listed in Alexandria via LeMat-Bulk.

Cell: 5.583 5.583 2.876 Å, 90.02 90.02 119.47°
Positions (direct):
As: 0.500 0.500 0.000
Re: 0.500 0.000 0.500
Tl: 0.000 0.500 0.500
As: 0.000 0.000 0.000

Its space-group type is No. 65. The density of states at the Fermi level comes out at 0.748 states/eV per atom.

***

## Q
First-principles (PBE) data for a geometry-optimized TlReAs2 structure, as listed in Alexandria via LeMat-Bulk.

Cell: 9.563 9.563 9.563 Å, 18.82 18.82 18.82°
Positions (direct):
As: 0.238 0.238 0.238
As: 0.994 0.994 0.994
Tl: 0.757 0.757 0.757
Re: 0.511 0.511 0.511

Its space-group type is No. 160. The density of states at the Fermi level comes out at 1.102 states/eV per atom.

***

Energy comparison, zero being the most stable, in eV/atom: P 0.460; Q 0.000.